Record 1
# NdZn2Ag8, relaxed, DFT PBE-GGA
data_NdZn2Ag8
_chemical_formula_sum 'Nd2 Zn4 Ag16'
_space_group_name_H-M_alt 'C 1 2/m 1'
_space_group_IT_number 12
_space_group_name_Hall '-C 2y'
_cell_length_a 7.8968
_cell_length_b 12.4779
_cell_length_c 4.9700
_cell_angle_alpha 90.00
_cell_angle_beta 117.62
_cell_angle_gamma 90.00
loop_
_atom_site_label
_atom_site_fract_x
_atom_site_fract_y
_atom_site_fract_z
Nd1 0.0000 0.0000 0.0000
Zn1 0.0000 0.3118 0.5000
Ag1 0.0000 0.2387 0.0000
Ag2 0.0732 0.5000 0.8063
Ag3 0.2022 0.1224 0.6283
# * electronic total energy: -2.72 eV per atom
# * total magnetization: 0.00 μB per formula unit
# * crystal system: monoclinic



Record 2
# Nd3Zn8Ag, relaxed, DFT PBE-GGA
data_Nd3Zn8Ag
_chemical_formula_sum 'Nd9 Zn24 Ag3'
_space_group_name_H-M_alt 'R 3 m'
_space_group_IT_number 160
_space_group_name_Hall 'R 3 -2"'
_cell_length_a 5.4890
_cell_length_b 5.4890
_cell_length_c 27.0897
_cell_angle_alpha 90.00
_cell_angle_beta 90.00
_cell_angle_gamma 120.00
loop_
_atom_site_label
_atom_site_fract_x
_atom_site_fract_y
_atom_site_fract_z
Nd1 0.0000 0.0000 0.0000
Nd2 0.0000 0.0000 0.1270
Nd3 0.0000 0.0000 0.6161
Zn1 0.0000 0.0000 0.3103
Zn2 0.0000 0.0000 0.8111
Zn3 0.1673 0.3347 0.3946
Zn4 0.1678 0.3357 0.8932
Ag1 0.0000 0.0000 0.4944
# * electronic total energy: -2.54 eV per atom
# * total magnetization: 0.00 μB per formula unit
# * crystal system: trigonal



Record 3
# Nd5Zn4Ag, relaxed, DFT PBE-GGA
data_Nd5Zn4Ag
_chemical_formula_sum 'Nd5 Zn4 Ag1'
_space_group_name_H-M_alt 'P 4/m m m'
_space_group_IT_number 123
_space_group_name_Hall '-P 4 2'
_cell_length_a 3.7083
_cell_length_b 3.7083
_cell_length_c 18.4076
_cell_angle_alpha 90.00
_cell_angle_beta 90.00
_cell_angle_gamma 90.00
loop_
_atom_site_label
_atom_site_fract_x
_atom_site_fract_y
_atom_site_fract_z
Nd1 0.0000 0.0000 0.0000
Nd2 0.0000 0.0000 0.1989
Nd3 0.0000 0.0000 0.3951
Zn1 0.5000 0.5000 0.1000
Zn2 0.5000 0.5000 0.2959
Ag1 0.5000 0.5000 0.5000
# * electronic total energy: -3.48 eV per atom
# * total magnetization: 0.01 μB per formula unit
# * crystal system: tetragonal